{"formula": "BaS3Cl", "functional": "GGA-PBE", "state": "relaxed", "lattice": [[-0.633, -3.939, 2.873], [3.669, -2.293, -2.335], [3.211, 1.844, 3.234]], "species": ["S", "S", "S", "Ba", "Cl"], "fractional_positions": [[0.000, 0.500, 0.000], [0.000, 0.000, 0.500], [0.500, 0.000, 0.000], [0.500, 0.500, 0.500], [0.000, 0.000, 0.000]], "final_energy_ev_per_cell": -17.3, "raw_formation_energy_kj_per_mol_atoms": -23, "polymorph_energy_mev_per_atom": 0.0}